A relaxed Dy3Ho2TmSe6 crystal, computed with PBE.

Calculated values
- DOS at the Fermi energy: 5.53 states/eV/f.u.
- Formation energy (no corrections): -1.7245 eV per atom
- VASP energy: -5.75 eV per atom
- Size of the total moment: 0.0 μB/cell

Lattice parameters (Å, degrees): 4.0450 8.1539 9.0736 103.28 102.88 90.00
Element x y z (fractional)
Se (0.0002, 0.2460, 0.0003)
Se (0.6667, 0.5819, 0.3334)
Se (0.3352, 0.9166, 0.6705)
Se (0.9998, 0.7540, 0.9997)
Se (0.6648, 0.0834, 0.3295)
Se (0.3333, 0.4181, 0.6666)
Tm (0.5000, 0.0000, 0.0000)
Dy (0.1678, 0.8328, 0.3357)
Dy (0.8322, 0.1672, 0.6643)
Dy (0.5000, 0.5000, 0.0000)
Ho (0.8326, 0.6656, 0.6652)
Ho (0.1674, 0.3344, 0.3348)